(1)
DFT (PBE) results for a relaxed structure of Er2Ga5Co2Cu.

abc: 9.287 9.287 3.837
angles: 90.00 90.00 90.00
Space group P4/mbm (No. 127)
Inequivalent atoms, fractional coordinates:
Er (0.183, 0.317, 0.000) x4
Ga (0.000, 0.500, 0.500) x2
Ga (0.059, 0.795, 0.500) x8
Co (0.112, 0.612, 0.000) x4
Cu (0.000, 0.000, 0.000) x2

energy of formation from the pure elements: -0.386 eV/atom
raw total energy: -92.85 eV/cell
magnetic moment: 0.00 μB/cell
DOS at the Fermi energy: 6.96 states/eV/f.u.

(2)
DFT (PBE) results for a relaxed structure of NaAsHBr2.

abc: 5.425 5.425 3.552
angles: 90.00 90.00 90.00
Space group P4/mmm (No. 123)
Inequivalent atoms, fractional coordinates:
Na (0.000, 0.000, 0.000) x1
As (0.500, 0.500, 0.000) x1
H (0.500, 0.500, 0.500) x1
Br (0.000, 0.500, 0.500) x2

raw total energy: -13.58 eV/cell
magnetic moment: 0.00 μB/cell
DOS at the Fermi energy: 2.68 states/eV/f.u.

(3)
DFT (PBE) results for a relaxed structure of Sc2TlNi2.

abc: 4.929 4.929 7.741
angles: 90.00 90.00 90.00
Space group I4/mmm (No. 139)
Inequivalent atoms, fractional coordinates:
Sc (0.000, 0.500, 0.250) x4
Tl (0.000, 0.000, 0.000) x2
Ni (0.000, 0.000, 0.357) x4

energy of formation from the pure elements: -0.219 eV/atom
raw total energy: -55.37 eV/cell
magnetic moment: 0.00 μB/cell
DOS at the Fermi energy: 3.65 states/eV/f.u.

(4)
DFT (PBE) results for a relaxed structure of ZrAl2Au.

abc: 3.063 4.494 5.436
angles: 90.00 90.00 90.00
Space group Pm (No. 6)
Inequivalent atoms, fractional coordinates:
Zr (0.000, 0.000, 0.000) x1
Al (0.499, 0.000, 0.492) x1
Al (0.500, 0.500, 0.236) x1
Au (0.500, 0.500, 0.742) x1

energy of formation from the pure elements: -0.400 eV/atom
raw total energy: -20.91 eV/cell
magnetic moment: 0.00 μB/cell
DOS at the Fermi energy: 2.77 states/eV/f.u.